Crystalline La4TcBr at its relaxed geometry. Source: Alexandria via LeMat-Bulk, functional PBE-GGA.

Computed properties:
- N(E_F): 8.14 states/eV/cell
- Theoretical density: 6.8 g/cm3
- Formation energy without anion corrections: 0.609 eV/atom
- Total magnetic moment: 1.8 μB/f.u.
- SG: No. 216

Cell lengths 6.3379, 6.3379, 6.3379 Å; angles 60.00, 60.00, 60.00 degrees
With the nearest neighbours (Å) after each atom.
Sites, in units of the cell vectors:
La (0.1234, 0.1234, 0.1234)  6 La 3.13-3.21
La (0.1234, 0.1234, 0.6299)  6 La 3.13-3.21
La (0.1234, 0.6299, 0.1234)  6 La 3.13-3.21
La (0.6299, 0.1234, 0.1234)  6 La 3.13-3.21
Tc (0.7500, 0.7500, 0.7500)  12 La 3.71, 4 Br 3.88
Br (0.5000, 0.5000, 0.5000)  12 La 3.72, 4 Tc 3.88